Entry 1:
# Sm2DyPa2Co5, optimized geometry, DFT PBE-GGA
data_Sm2DyPa2Co5
_chemical_formula_sum 'Sm4 Dy2 Pa4 Co10'
_cell_length_a 3.4743
_cell_length_b 10.5916
_cell_length_c 10.5916
_cell_angle_alpha 90.00
_cell_angle_beta 90.00
_cell_angle_gamma 90.00
_symmetry_space_group_name_H-M 'P 1'
_symmetry_Int_Tables_number 1
_symmetry_space_group_name_Hall 'P 1'
loop_
_atom_site_label
_atom_site_type_symbol
_atom_site_fract_x
_atom_site_fract_y
_atom_site_fract_z
Sm1 Sm 0.0000 0.6731 0.1731
Sm2 Sm 0.0000 0.3269 0.8269
Sm3 Sm 0.0000 0.1731 0.3269
Sm4 Sm 0.0000 0.8269 0.6731
Dy1 Dy 0.0000 0.0000 0.0000
Dy2 Dy 0.0000 0.5000 0.5000
Pa1 Pa 0.0000 0.1343 0.6343
Pa2 Pa 0.0000 0.8657 0.3657
Pa3 Pa 0.0000 0.6343 0.8657
Pa4 Pa 0.0000 0.3657 0.1343
Co1 Co 0.5000 0.2239 0.0417
Co2 Co 0.5000 0.7761 0.9583
Co3 Co 0.5000 0.0417 0.7761
Co4 Co 0.5000 0.7239 0.4583
Co5 Co 0.5000 0.9583 0.2239
Co6 Co 0.5000 0.2761 0.5417
Co7 Co 0.5000 0.5417 0.7239
Co8 Co 0.5000 0.4583 0.2761
Co9 Co 0.5000 0.5000 0.0000
Co10 Co 0.5000 0.0000 0.5000
# - VASP energy (eV/atom) = -6.972
# - space group = P4/mbm (127)



Entry 2:
# DyPaCoTc, optimized geometry, DFT PBE-GGA
data_DyPaCoTc
_chemical_formula_sum 'Dy1 Pa1 Co1 Tc1'
_cell_length_a 4.7937
_cell_length_b 4.7937
_cell_length_c 4.7937
_cell_angle_alpha 60.00
_cell_angle_beta 60.00
_cell_angle_gamma 60.00
_symmetry_space_group_name_H-M 'P 1'
_symmetry_Int_Tables_number 1
_symmetry_space_group_name_Hall 'P 1'
loop_
_atom_site_label
_atom_site_type_symbol
_atom_site_fract_x
_atom_site_fract_y
_atom_site_fract_z
Pa1 Pa 0.7500 0.7500 0.7500
Co1 Co 0.5000 0.5000 0.5000
Tc1 Tc 0.0000 0.0000 0.0000
Dy1 Dy 0.2500 0.2500 0.2500
# - VASP energy (eV/atom) = -8.014
# - space group = F-43m (216)